This record from Alexandria describes a geometry-optimized LiMn2B2O6 structure. The functional is GGA+U.

## Properties
Volume: 11.63 Å³/atom
Energy above the lowest structure with this stoichiometry: 0.0056 eV per atom
Uncorrected energy: -164.89 eV for the cell shown
Symmetry: Cc (9)

Unit cell a=5.2311 b=5.2311 c=10.6230 alpha=90.46 beta=90.46 gamma=118.33
Element x y z (fractional)
Li1 0.0323 0.9677 0.5000
Li2 0.9677 0.0323 0.0000
Mn1 0.2009 0.5108 0.8517
Mn2 0.4377 0.8006 0.1147
Mn3 0.5108 0.2009 0.3517
Mn4 0.8006 0.4377 0.6147
B1 0.1388 0.5156 0.3690
B2 0.4719 0.8260 0.6073
B3 0.5156 0.1388 0.8690
B4 0.8260 0.4719 0.1073
O1 0.0701 0.4679 0.0514
O2 0.1667 0.2753 0.3835
O3 0.2158 0.6292 0.6654
O4 0.2753 0.1667 0.8835
O5 0.3134 0.7478 0.2917
O6 0.4679 0.0701 0.5514
O7 0.5483 0.9189 0.9348
O8 0.6292 0.2158 0.1654
O9 0.7093 0.7885 0.6079
O10 0.7478 0.3134 0.7917
O11 0.7885 0.7093 0.1079
O12 0.9189 0.5483 0.4348